Entry from Alexandria via LeMat-Bulk: a relaxed structure of TlVF3 (PBE with a Hubbard U).

CIF file:
```
data_TlVF3
_cell_length_a 4.669
_cell_length_b 4.669
_cell_length_c 4.669
_cell_angle_alpha 90.00
_cell_angle_beta 90.00
_cell_angle_gamma 90.00
_space_group_name_H-M_alt 'P 1'
_space_group_IT_number 1
loop_
_space_group_symop_operation_xyz
'x,y,z'
loop_
_atom_site_label
_atom_site_type_symbol
_atom_site_fract_x
_atom_site_fract_y
_atom_site_fract_z
_atom_site_occupancy
F1 F 0.000 0.000 0.500 1
V1 V 0.500 0.500 0.500 1
Tl1 Tl 0.000 0.000 0.000 1
F2 F 0.500 0.000 0.000 1
F3 F 0.000 0.500 0.000 1
```

**D(E_F)**: 1.861 states/eV per atom
**Crystal system**: cubic
**Uncorrected energy**: -4.020 eV/atom
**Excess energy over the best structure of this formula in the dataset**: 1403 meV per atom